(1)
DFT (PBE-GGA) results for a geometry-optimized Pr4Er3Te8 structure.

Computed properties:
Crystal system: trigonal
ΔE to the lowest computed polymorph in meV per atom: 186
E_form (uncorrected) in eV/f.u.: -17.97

```
data_Pr4Er3Te8
_chemical_formula_sum 'Pr12 Er9 Te24'
_cell_length_a 8.7459
_cell_length_b 8.7459
_cell_length_c 24.6113
_cell_angle_alpha 90.00
_cell_angle_beta 90.00
_cell_angle_gamma 120.00
_symmetry_space_group_name_H-M 'R -3 m'
_symmetry_Int_Tables_number 166
_symmetry_space_group_name_Hall '-R 3 2"'
loop_
_atom_site_label
_atom_site_fract_x
_atom_site_fract_y
_atom_site_fract_z
Pr1 0.0000 0.0000 0.0000
Pr2 0.0000 0.0000 0.1428
Pr3 0.0000 0.0000 0.5000
Er1 0.0000 0.5000 0.0000
Te1 0.0000 0.0000 0.2681
Te2 0.0137 0.5069 0.2560
```

(2)
DFT (PBE-GGA) results for a geometry-optimized ZrTaCr2Rh structure.

Computed properties:
Crystal system: tetragonal
ΔH_f (0 K) in eV per atom: 1.467

```
data_ZrTaCr2Rh
_chemical_formula_sum 'Zr1 Ta1 Cr2 Rh1'
_cell_length_a 4.553
_cell_length_b 4.553
_cell_length_c 5.103
_cell_angle_alpha 90.00
_cell_angle_beta 90.00
_cell_angle_gamma 90.00
_symmetry_space_group_name_H-M 'P 4/m m m'
_symmetry_Int_Tables_number 123
_symmetry_space_group_name_Hall '-P 4 2'
loop_
_atom_site_label
_atom_site_fract_x
_atom_site_fract_y
_atom_site_fract_z
Zr1 0.000 0.000 0.000
Ta1 0.000 0.000 0.500
Cr1 0.000 0.500 0.500
Rh1 0.500 0.500 0.000
```

(3)
DFT (PBE-GGA) results for a geometry-optimized SrGd2Pb structure.

Computed properties:
Crystal system: tetragonal
ΔH_f (0 K) in eV per atom: -0.209

```
data_SrGd2Pb
_chemical_formula_sum 'Sr1 Gd2 Pb1'
_cell_length_a 5.050
_cell_length_b 5.050
_cell_length_c 5.064
_cell_angle_alpha 90.00
_cell_angle_beta 90.00
_cell_angle_gamma 90.00
_symmetry_space_group_name_H-M 'P 4/m m m'
_symmetry_Int_Tables_number 123
_symmetry_space_group_name_Hall '-P 4 2'
loop_
_atom_site_label
_atom_site_fract_x
_atom_site_fract_y
_atom_site_fract_z
Sr1 0.000 0.000 0.000
Gd1 0.000 0.500 0.500
Pb1 0.500 0.500 0.000
```

(4)
DFT (PBE-GGA) results for a geometry-optimized PrEr12Sc5 structure.

Computed properties:
Crystal system: monoclinic
ΔH_f (0 K) in eV per atom: 0.037

```
data_PrEr12Sc5
_chemical_formula_sum 'Pr2 Er24 Sc10'
_cell_length_a 6.001
_cell_length_b 10.395
_cell_length_c 16.864
_cell_angle_alpha 90.00
_cell_angle_beta 96.81
_cell_angle_gamma 90.00
_symmetry_space_group_name_H-M 'C 1 2/m 1'
_symmetry_Int_Tables_number 12
loop_
_symmetry_equiv_pos_as_xyz
'x,y,z'
'-x,-y,-z'
'-x,y,-z'
'x,-y,z'
'x+1/2,y+1/2,z'
'-x+1/2,-y+1/2,-z'
'-x+1/2,y+1/2,-z'
'x+1/2,-y+1/2,z'
loop_
_atom_site_label
_atom_site_fract_x
_atom_site_fract_y
_atom_site_fract_z
Pr1 0.000 0.000 0.000
Er1 0.113 0.000 0.338
Er2 0.113 0.333 0.339
Er3 0.218 0.500 0.167
Er4 0.224 0.169 0.167
Sc1 0.000 0.166 0.500
Sc2 0.000 0.333 0.000
Sc3 0.000 0.500 0.500
```

(5)
DFT (PBE-GGA) results for a geometry-optimized CsRbICl structure.

Computed properties:
Crystal system: trigonal
E_form (uncorrected) in eV/f.u.: -6.81

```
data_CsRbICl
_chemical_formula_sum 'Cs3 Rb3 I3 Cl3'
_cell_length_a 5.0048
_cell_length_b 5.0048
_cell_length_c 26.6362
_cell_angle_alpha 90.00
_cell_angle_beta 90.00
_cell_angle_gamma 120.00
_symmetry_space_group_name_H-M 'R 3 m'
_symmetry_Int_Tables_number 160
_symmetry_space_group_name_Hall 'R 3 -2"'
loop_
_atom_site_label
_atom_site_fract_x
_atom_site_fract_y
_atom_site_fract_z
Cs1 0.0000 0.0000 0.0000
Rb1 0.0000 0.0000 0.8156
I1 0.0000 0.0000 0.5712
Cl1 0.0000 0.0000 0.4105
```

(6)
DFT (PBE-GGA) results for a geometry-optimized Al2CdO structure.

Computed properties:
Crystal system: triclinic
ΔE to the lowest computed polymorph in meV per atom: 8
E_form (uncorrected) in eV/f.u.: -3.97

```
data_Al2CdO
_chemical_formula_sum 'Al4 Cd2 O2'
_cell_length_a 2.911
_cell_length_b 4.840
_cell_length_c 10.485
_cell_angle_alpha 89.84
_cell_angle_beta 88.08
_cell_angle_gamma 82.37
_symmetry_space_group_name_H-M 'P 1'
_symmetry_Int_Tables_number 1
loop_
_symmetry_equiv_pos_as_xyz
'x,y,z'
loop_
_atom_site_label
_atom_site_fract_x
_atom_site_fract_y
_atom_site_fract_z
Al1 0.000 0.000 0.000
Al2 0.112 0.492 0.411
Al3 0.462 0.038 0.281
Al4 0.603 0.334 0.635
Cd1 0.088 0.842 0.700
Cd2 0.503 0.491 0.916
O1 0.567 0.715 0.369
O2 0.980 0.007 0.176
```